1) A relaxed structure of ScTlRh2. Source: Alexandria, functional PBE-GGA.

CIF file:
```
data_ScTlRh2
_chemical_formula_sum 'Sc4 Tl4 Rh8'
_cell_length_a 6.503
_cell_length_b 6.503
_cell_length_c 6.503
_cell_angle_alpha 90.00
_cell_angle_beta 90.00
_cell_angle_gamma 90.00
_symmetry_space_group_name_H-M 'F m -3 m'
_symmetry_Int_Tables_number 225
_symmetry_space_group_name_Hall '-F 4 2 3'
loop_
_atom_site_label
_atom_site_type_symbol
_atom_site_fract_x
_atom_site_fract_y
_atom_site_fract_z
Sc1 Sc 0.000 0.000 0.000
Tl1 Tl 0.000 0.000 0.500
Rh1 Rh 0.250 0.250 0.250
```


2) A relaxed structure of ScTlRh2. Source: Alexandria, functional PBE-GGA.

CIF file:
```
data_ScTlRh2
_chemical_formula_sum 'Sc1 Tl1 Rh2'
_cell_length_a 3.213
_cell_length_b 3.409
_cell_length_c 6.359
_cell_angle_alpha 90.00
_cell_angle_beta 90.00
_cell_angle_gamma 90.00
_symmetry_space_group_name_H-M 'P m m m'
_symmetry_Int_Tables_number 47
_symmetry_space_group_name_Hall '-P 2 2'
loop_
_atom_site_label
_atom_site_type_symbol
_atom_site_fract_x
_atom_site_fract_y
_atom_site_fract_z
Sc1 Sc 0.000 0.000 0.000
Tl1 Tl 0.000 0.000 0.500
Rh1 Rh 0.500 0.500 0.239
```


Least stable structure: 2)


1) A relaxed structure of La4CoRh. Source: Alexandria, functional PBE-GGA.

CIF file:
```
data_La4CoRh
_chemical_formula_sum 'La4 Co1 Rh1'
_cell_length_a 4.196
_cell_length_b 6.565
_cell_length_c 7.262
_cell_angle_alpha 100.79
_cell_angle_beta 90.07
_cell_angle_gamma 108.56
_symmetry_space_group_name_H-M 'P -1'
_symmetry_Int_Tables_number 2
_symmetry_space_group_name_Hall '-P 1'
loop_
_atom_site_label
_atom_site_type_symbol
_atom_site_fract_x
_atom_site_fract_y
_atom_site_fract_z
La1 La 0.118 0.238 0.383
La2 La 0.379 0.757 0.135
Co1 Co 0.500 0.000 0.500
Rh1 Rh 0.000 0.000 0.000
```


2) A relaxed structure of La4CoRh. Source: Alexandria, functional PBE-GGA.

CIF file:
```
data_La4CoRh
_chemical_formula_sum 'La16 Co4 Rh4'
_cell_length_a 8.707
_cell_length_b 8.707
_cell_length_c 8.707
_cell_angle_alpha 90.00
_cell_angle_beta 90.00
_cell_angle_gamma 90.00
_symmetry_space_group_name_H-M 'F -4 3 m'
_symmetry_Int_Tables_number 216
_symmetry_space_group_name_Hall 'F -4 2 3'
loop_
_atom_site_label
_atom_site_type_symbol
_atom_site_fract_x
_atom_site_fract_y
_atom_site_fract_z
La1 La 0.125 0.125 0.125
Co1 Co 0.000 0.000 0.500
Rh1 Rh 0.250 0.250 0.750
```


Least stable structure: 2)


1) A relaxed structure of Ca2Hg2Au. Source: Alexandria, functional PBE-GGA.

CIF file:
```
data_Ca2Hg2Au
_chemical_formula_sum 'Ca8 Hg8 Au4'
_cell_length_a 6.833
_cell_length_b 13.161
_cell_length_c 6.113
_cell_angle_alpha 90.00
_cell_angle_beta 90.00
_cell_angle_gamma 90.00
_symmetry_space_group_name_H-M 'I b a m'
_symmetry_Int_Tables_number 72
_symmetry_space_group_name_Hall '-I 2 2c'
loop_
_atom_site_label
_atom_site_type_symbol
_atom_site_fract_x
_atom_site_fract_y
_atom_site_fract_z
Ca1 Ca 0.225 0.158 0.000
Hg1 Hg 0.165 0.403 0.000
Au1 Au 0.000 0.000 0.250
```


2) A relaxed structure of Ca2Hg2Au. Source: Alexandria, functional PBE-GGA.

CIF file:
```
data_Ca2Hg2Au
_chemical_formula_sum 'Ca4 Hg4 Au2'
_cell_length_a 4.536
_cell_length_b 15.480
_cell_length_c 3.636
_cell_angle_alpha 90.00
_cell_angle_beta 90.00
_cell_angle_gamma 90.00
_symmetry_space_group_name_H-M 'C m m m'
_symmetry_Int_Tables_number 65
_symmetry_space_group_name_Hall '-C 2 2'
loop_
_atom_site_label
_atom_site_type_symbol
_atom_site_fract_x
_atom_site_fract_y
_atom_site_fract_z
Ca1 Ca 0.000 0.110 0.000
Hg1 Hg 0.000 0.308 0.500
Au1 Au 0.000 0.500 0.500
```


Least stable structure: 1)


1) A relaxed structure of Ho4ScAl2. Source: Alexandria, functional PBE-GGA.

CIF file:
```
data_Ho4ScAl2
_chemical_formula_sum 'Ho12 Sc3 Al6'
_cell_length_a 5.1628
_cell_length_b 5.1628
_cell_length_c 23.0816
_cell_angle_alpha 90.00
_cell_angle_beta 90.00
_cell_angle_gamma 120.00
_symmetry_space_group_name_H-M 'R -3 m'
_symmetry_Int_Tables_number 166
_symmetry_space_group_name_Hall '-R 3 2"'
loop_
_atom_site_label
_atom_site_type_symbol
_atom_site_fract_x
_atom_site_fract_y
_atom_site_fract_z
Ho1 Ho 0.0000 0.0000 0.0847
Ho2 Ho 0.0000 0.0000 0.3493
Sc1 Sc 0.0000 0.0000 0.5000
Al1 Al 0.0000 0.0000 0.2180
```


2) A relaxed structure of Ho4ScAl2. Source: Alexandria, functional PBE-GGA.

CIF file:
```
data_Ho4ScAl2
_chemical_formula_sum 'Ho12 Sc3 Al6'
_cell_length_a 5.0184
_cell_length_b 5.0184
_cell_length_c 28.5549
_cell_angle_alpha 90.00
_cell_angle_beta 90.00
_cell_angle_gamma 120.00
_symmetry_space_group_name_H-M 'R -3 m'
_symmetry_Int_Tables_number 166
_symmetry_space_group_name_Hall '-R 3 2"'
loop_
_atom_site_label
_atom_site_type_symbol
_atom_site_fract_x
_atom_site_fract_y
_atom_site_fract_z
Ho1 Ho 0.0000 0.0000 0.1107
Ho2 Ho 0.0000 0.0000 0.2946
Sc1 Sc 0.0000 0.0000 0.5000
Al1 Al 0.0000 0.0000 0.4020
```


Least stable structure: 2)